Material: PrZn2SnPd5
Method: DFT, PBE
State: optimized geometry

Structure (POSCAR):
```
PrZn2SnPd5
1.0
4.728 0.000 0.000
0.000 4.728 0.000
0.000 0.000 7.496
Pd Pr Sn Zn
5 1 1 2
direct
0.500 0.000 0.762
0.500 0.500 0.500
0.500 0.000 0.238
0.000 0.500 0.762
0.000 0.500 0.238
0.000 0.000 0.500
0.000 0.000 0.000
0.500 0.500 0.840
0.500 0.500 0.160
```

Output
* density of states at the Fermi level: 5.0 states/eV per cell
* SG: P4/mmm (123)
* formation energy from the elements: -40 kJ per mole of atoms
* final energy: -4.556 eV per atom
* calculated volume: 18.6 Å³/atom

---

Material: Tb2TcN
Method: DFT, PBE
State: optimized geometry

Structure (POSCAR):
```
Tb2TcN
1.0
3.325 0.000 0.000
1.662 2.880 0.000
1.662 0.960 8.217
Tb N Tc
2 1 1
direct
0.110 0.110 0.670
0.890 0.890 0.330
0.500 0.500 0.500
0.000 0.000 0.000
```

Output
* density of states at the Fermi level: 3.8 states/eV per cell
* SG: R-3m (166)
* final energy: -7.132 eV per atom
* calculated volume: 19.7 Å³/atom

---

Material: La2TbHo9
Method: DFT, PBE
State: optimized geometry

Structure (POSCAR):
```
La2TbHo9
1.0
5.043 0.000 0.000
0.000 5.043 0.000
0.000 0.000 15.151
La Ho Tb
2 9 1
direct
0.000 0.000 0.334
0.000 0.000 0.666
0.500 0.000 0.163
0.500 0.500 0.331
0.500 0.000 0.500
0.500 0.000 0.837
0.000 0.500 0.163
0.500 0.500 0.669
0.500 0.500 0.000
0.000 0.500 0.837
0.000 0.500 0.500
0.000 0.000 0.000
```

Output
* density of states at the Fermi level: 18.0 states/eV per cell
* SG: P4/mmm (123)
* formation energy from the elements: 3 kJ per mole of atoms
* excess energy over the best structure of this formula in the dataset: 0 meV per atom
* final energy: -4.610 eV per atom
* calculated volume: 32.1 Å³/atom

---

Material: PmMnRh2
Method: DFT, PBE
State: optimized geometry

Structure (POSCAR):
```
PmMnRh2
1.0
-2.074 -0.335 -2.569
-0.124 -3.274 0.527
-5.070 0.834 3.984
Rh Mn Pm
2 1 1
direct
0.000 0.000 0.218
0.000 0.000 0.782
0.500 0.500 0.000
0.500 0.500 0.500
```

Output
* density of states at the Fermi level: 1.3 states/eV per cell
* SG: P4/mmm (123)
* formation energy from the elements: -31 kJ per mole of atoms
* final energy: -7.481 eV per atom
* calculated volume: 17.9 Å³/atom

---

Material: AcCd2SnRh2
Method: DFT, PBE
State: optimized geometry

Structure (POSCAR):
```
AcCd2SnRh2
1.0
4.938 0.000 0.000
0.000 4.938 0.000
0.000 0.000 6.322
Rh Cd Ac Sn
2 2 1 1
direct
0.000 0.500 0.000
0.500 0.000 0.000
0.500 0.500 0.250
0.500 0.500 0.750
0.000 0.000 0.500
0.000 0.000 0.000
```

Output
* density of states at the Fermi level: 7.7 states/eV per cell
* SG: P4/mmm (123)
* formation energy from the elements: -10 kJ per mole of atoms
* final energy: -4.207 eV per atom
* calculated volume: 25.7 Å³/atom

---

Material: HgH2IrBr
Method: DFT, PBE
State: optimized geometry

Structure (POSCAR):
```
HgH2IrBr
1.0
-2.009 2.260 -2.303
-3.123 -4.351 -1.545
-2.424 0.733 2.835
Ir H Hg Br
1 2 1 1
direct
0.000 0.000 0.000
0.500 0.000 0.000
0.000 0.000 0.500
0.000 0.500 0.000
0.500 0.500 0.500
```

Output
* density of states at the Fermi level: 3.8 states/eV per cell
* SG: P4/mmm (123)
* final energy: -2.925 eV per atom
* calculated volume: 16.1 Å³/atom